No. 1
Entry from Alexandria via LeMat-Bulk: a crystal of K2LiErCl6 relaxed with PBEsol (SCAN).

Summary:
* uncorrected formation energy: -2.31 eV/atom

```
data_K2LiErCl6
_cell_length_a 10.127
_cell_length_b 10.127
_cell_length_c 10.127
_cell_angle_alpha 90.00
_cell_angle_beta 90.00
_cell_angle_gamma 90.00
_symmetry_space_group_name_H-M 'F m -3 m'
_symmetry_Int_Tables_number 225
_symmetry_space_group_name_Hall '-F 4 2 3'
loop_
_atom_site_label
_atom_site_fract_x
_atom_site_fract_y
_atom_site_fract_z
K1 0.250 0.250 0.250
Li1 0.000 0.000 0.000
Er1 0.000 0.000 0.500
Cl1 0.000 0.000 0.247
```

***

No. 2
Entry from Alexandria via LeMat-Bulk: a crystal of Ba2LiBi2 relaxed with PBEsol (SCAN).

Summary:
* calculated formation energy: -0.5992 eV/atom

```
data_Ba2LiBi2
_cell_length_a 10.028
_cell_length_b 10.028
_cell_length_c 3.893
_cell_angle_alpha 90.00
_cell_angle_beta 90.00
_cell_angle_gamma 90.00
_symmetry_space_group_name_H-M 'P 4/m b m'
_symmetry_Int_Tables_number 127
_symmetry_space_group_name_Hall '-P 4 2ab'
loop_
_atom_site_label
_atom_site_fract_x
_atom_site_fract_y
_atom_site_fract_z
Ba1 0.130 0.370 0.000
Li1 0.000 0.000 0.000
Bi1 0.169 0.669 0.500
```

***

No. 3
Entry from Alexandria via LeMat-Bulk: a crystal of CaPBr relaxed with PBEsol (SCAN).

Summary:
* uncorrected formation energy: -0.59 eV/atom

```
data_CaPBr
_cell_length_a 6.895
_cell_length_b 6.895
_cell_length_c 6.895
_cell_angle_alpha 90.00
_cell_angle_beta 90.00
_cell_angle_gamma 90.00
_symmetry_space_group_name_H-M 'F -4 3 m'
_symmetry_Int_Tables_number 216
_symmetry_space_group_name_Hall 'F -4 2 3'
loop_
_atom_site_label
_atom_site_fract_x
_atom_site_fract_y
_atom_site_fract_z
Ca1 0.000 0.000 0.000
P1 0.250 0.250 0.250
Br1 0.250 0.250 0.750
```

***

Please write out number 3 again, unchanged.
Entry from Alexandria via LeMat-Bulk: a crystal of CaPBr relaxed with PBEsol (SCAN).

Summary:
* uncorrected formation energy: -0.59 eV/atom

```
data_CaPBr
_cell_length_a 6.895
_cell_length_b 6.895
_cell_length_c 6.895
_cell_angle_alpha 90.00
_cell_angle_beta 90.00
_cell_angle_gamma 90.00
_symmetry_space_group_name_H-M 'F -4 3 m'
_symmetry_Int_Tables_number 216
_symmetry_space_group_name_Hall 'F -4 2 3'
loop_
_atom_site_label
_atom_site_fract_x
_atom_site_fract_y
_atom_site_fract_z
Ca1 0.000 0.000 0.000
P1 0.250 0.250 0.250
Br1 0.250 0.250 0.750
```